The following is a DFT calculation (PBE) of crystalline BaCuIr2 at its relaxed geometry.

a b c (Å): 4.8203 4.8203 17.5540
angles (deg): 90.00 90.00 90.00
Sites, in units of the cell vectors:
Ba 0.0000 0.0000 0.0000
Ba 0.0000 0.5000 0.2500
Ba 0.5000 0.0000 0.7500
Ba 0.5000 0.5000 0.5000
Cu 0.0000 0.0000 0.5000
Cu 0.0000 0.5000 0.7500
Cu 0.5000 0.0000 0.2500
Cu 0.5000 0.5000 0.0000
Ir 0.0303 0.7500 0.6250
Ir 0.2500 0.0303 0.3750
Ir 0.2500 0.4697 0.8750
Ir 0.4697 0.7500 0.1250
Ir 0.5303 0.2500 0.1250
Ir 0.7500 0.5303 0.8750
Ir 0.7500 0.9697 0.3750
Ir 0.9697 0.2500 0.6250

Fermi-level density of states = 1.034 states/eV per atom
calculated volume = 25.49 Å³/atom
DFT total energy = -91.26 eV/cell